No. 1
Zr2P2Au: optimized geometry, GGA-PBE.

The calculation puts the formation energy at -0.779 eV per atom. The distance to the lowest polymorph of the same formula is 107 meV per atom. Its density is 7.8 g/cm3. The calculated total energy comes out at -7.018 eV/atom.

It has space group P4/mbm (No. 127), with a = 7.4179 Å, b = 7.4179 Å, c = 3.4347 Å, α = 90.00°, β = 90.00° and γ = 90.00°. Symmetry generates all atoms from Zr at (0.1493, 0.3507, 0.0000), P at (0.1440, 0.6440, 0.5000) and Au at (0.0000, 0.0000, 0.0000).



No. 2
In2AgHg: optimized geometry, GGA-PBE.

The calculation puts the formation energy at 0.007 eV per atom. Its density is 9.5 g/cm3. The calculated total energy comes out at -2.151 eV/atom.

It has space group R-3m (No. 166, hexagonal axes), with a = 3.4256 Å, b = 3.4256 Å, c = 27.8566 Å, α = 90.00°, β = 90.00° and γ = 120.00°. Symmetry generates all atoms from In at (0.0000, 0.0000, 0.2457), Ag at (0.0000, 0.0000, 0.5000) and Hg at (0.0000, 0.0000, 0.0000).



No. 3
Pm3InCo: optimized geometry, GGA-PBE.

The calculation puts the formation energy at -0.066 eV per atom. The distance to the lowest polymorph of the same formula is 139 meV per atom. Its density is 7.0 g/cm3. The calculated total energy comes out at -4.886 eV/atom.

It has space group C2/m (No. 12), with a = 12.4571 Å, b = 7.2034 Å, c = 7.6619 Å, α = 90.00°, β = 122.89° and γ = 90.00°. Symmetry generates all atoms from Pm at (0.0913, 0.0000, 0.2701), Pm at (0.1606, 0.2520, 0.7291), In at (0.0956, 0.5000, 0.2879) and Co at (0.1707, 0.0000, 0.0113).